# 1
A relaxed structure of PmPr6Dy5, computed with GGA-PBE.

abc: 5.175 10.195 9.617
angles: 122.01 105.60 90.00
Fractional positions:
Pr 0.833 0.582 0.666
Pr 0.833 0.084 0.666
Pr 0.500 0.749 0.000
Pr 0.500 0.251 0.000
Pr 0.167 0.916 0.334
Pr 0.167 0.418 0.334
Pm 0.000 0.000 0.000
Dy 0.667 0.167 0.335
Dy 0.333 0.333 0.666
Dy 0.000 0.500 0.000
Dy 0.667 0.667 0.334
Dy 0.333 0.833 0.665

Computed properties:
**E**: -56.252 eV for the cell shown



# 2
A relaxed structure of Pm2Pr6Dy5, computed with GGA-PBE.

abc: 3.667 11.879 20.727
angles: 90.00 90.00 90.00
Fractional positions:
Pm 0.000 0.333 0.286
Pm 0.000 0.667 0.714
Pm 0.000 0.833 0.214
Pm 0.000 0.167 0.786
Pr 0.000 0.081 0.366
Pr 0.000 0.919 0.634
Pr 0.000 0.581 0.134
Pr 0.000 0.419 0.866
Pr 0.500 0.323 0.130
Pr 0.500 0.677 0.870
Pr 0.500 0.823 0.370
Pr 0.500 0.177 0.630
Pr 0.000 0.559 0.422
Pr 0.000 0.441 0.578
Pr 0.000 0.059 0.078
Pr 0.000 0.941 0.922
Dy 0.500 0.301 0.444
Dy 0.500 0.699 0.556
Dy 0.500 0.801 0.056
Dy 0.500 0.199 0.944
Dy 0.500 0.593 0.276
Dy 0.500 0.407 0.724
Dy 0.500 0.093 0.224
Dy 0.500 0.907 0.776
Dy 0.500 0.500 0.000
Dy 0.500 0.000 0.500

Computed properties:
**E**: -119.754 eV for the cell shown



# 3
A relaxed structure of Pm8Pr3Dy2, computed with GGA-PBE.

abc: 5.807 7.762 10.967
angles: 110.72 90.02 90.00
Fractional positions:
Pm 0.001 0.674 0.349
Pm 0.999 0.326 0.651
Pm 0.000 0.136 0.272
Pm 0.000 0.864 0.728
Pm 0.500 0.600 0.783
Pm 0.500 0.183 0.783
Pm 0.500 0.817 0.217
Pm 0.500 0.400 0.217
Pr 0.500 0.000 0.000
Pr 0.000 0.289 0.000
Pr 0.000 0.711 0.000
Dy 0.499 0.242 0.483
Dy 0.501 0.758 0.517

Computed properties:
**E above lowest polymorph**: 68 meV/atom



# 4
A relaxed structure of Pm5Pr2Dy6, computed with GGA-PBE.

abc: 3.615 11.792 20.608
angles: 90.00 90.00 90.00
Fractional positions:
Pm 0.500 0.299 0.447
Pm 0.500 0.701 0.553
Pm 0.500 0.799 0.053
Pm 0.500 0.201 0.947
Pm 0.500 0.587 0.280
Pm 0.500 0.413 0.720
Pm 0.500 0.087 0.220
Pm 0.500 0.913 0.780
Pm 0.500 0.500 0.000
Pm 0.500 0.000 0.500
Pr 0.000 0.327 0.282
Pr 0.000 0.673 0.718
Pr 0.000 0.827 0.218
Pr 0.000 0.173 0.782
Dy 0.000 0.076 0.365
Dy 0.000 0.924 0.635
Dy 0.000 0.576 0.135
Dy 0.000 0.424 0.865
Dy 0.500 0.319 0.128
Dy 0.500 0.681 0.872
Dy 0.500 0.819 0.372
Dy 0.500 0.181 0.628
Dy 0.000 0.561 0.424
Dy 0.000 0.439 0.576
Dy 0.000 0.061 0.076
Dy 0.000 0.939 0.924

Computed properties:
**E**: -119.404 eV for the cell shown



# 5
A relaxed structure of PmPrDy5, computed with GGA-PBE.

abc: 5.768 7.874 7.874
angles: 66.83 68.52 68.52
Fractional positions:
Pm 0.500 0.500 0.500
Pr 0.000 0.000 0.000
Dy 0.500 0.180 0.820
Dy 0.500 0.820 0.180
Dy 0.748 0.252 0.252
Dy 0.252 0.748 0.748
Dy 0.000 0.500 0.500

Computed properties:
**E above lowest polymorph**: 887 meV/atom



# 6
A relaxed structure of PmPr3Dy6, computed with GGA-PBE.

abc: 9.970 9.970 6.961
angles: 44.26 44.26 60.00
Fractional positions:
Pm 0.850 0.850 0.449
Pr 0.350 0.350 0.949
Pr 0.601 0.601 0.197
Pr 0.099 0.099 0.702
Dy 0.925 0.601 0.200
Dy 0.273 0.925 0.200
Dy 0.601 0.273 0.200
Dy 0.099 0.427 0.700
Dy 0.774 0.099 0.700
Dy 0.427 0.774 0.700

Computed properties:
**E above lowest polymorph**: 141 meV/atom



# 7
A relaxed structure of PmPr5Dy4, computed with GGA-PBE.

abc: 3.615 10.644 9.381
angles: 83.86 101.11 90.00
Fractional positions:
Pm 0.500 0.000 0.000
Pr 0.810 0.600 0.620
Pr 0.858 0.230 0.717
Pr 0.142 0.770 0.283
Pr 0.500 0.500 0.000
Pr 0.190 0.400 0.380
Dy 0.317 0.913 0.635
Dy 0.954 0.762 0.908
Dy 0.683 0.087 0.365
Dy 0.046 0.238 0.092

Computed properties:
**E above lowest polymorph**: 128 meV/atom



# 8
A relaxed structure of Pm4PrDy7, computed with GGA-PBE.

abc: 6.882 8.822 9.107
angles: 84.19 94.83 47.67
Fractional positions:
Pm 0.557 0.639 0.286
Pm 0.443 0.361 0.714
Pm 0.774 0.837 0.689
Pm 0.226 0.163 0.311
Pr 0.000 0.000 0.000
Dy 0.736 0.514 0.950
Dy 0.264 0.486 0.050
Dy 0.982 0.318 0.642
Dy 0.018 0.682 0.358
Dy 0.293 0.810 0.615
Dy 0.500 0.000 0.000
Dy 0.707 0.190 0.385

Computed properties:
**E above lowest polymorph**: 0 meV/atom



# 9
A relaxed structure of Pm6Pr3Dy2, computed with GGA-PBE.

abc: 4.850 4.850 17.212
angles: 98.10 98.10 90.00
Fractional positions:
Pm 0.119 0.619 0.238
Pm 0.619 0.119 0.238
Pm 0.881 0.381 0.762
Pm 0.381 0.881 0.762
Pm 0.694 0.694 0.389
Pm 0.306 0.306 0.611
Pr 0.000 0.000 0.000
Pr 0.797 0.797 0.594
Pr 0.203 0.203 0.406
Dy 0.455 0.455 0.909
Dy 0.545 0.545 0.091

Computed properties:
**E above lowest polymorph**: 251 meV/atom



# 10
A relaxed structure of Pm3PrDy7, computed with GGA-PBE.

abc: 5.566 10.038 8.937
angles: 105.53 128.48 90.02
Fractional positions:
Pm 0.282 0.999 0.782
Pm 0.000 0.500 0.000
Pm 0.718 0.001 0.218
Pr 0.500 0.500 0.500
Dy 0.919 0.830 0.919
Dy 0.855 0.712 0.355
Dy 0.679 0.360 0.179
Dy 0.321 0.640 0.821
Dy 0.500 0.000 0.500
Dy 0.145 0.288 0.645
Dy 0.081 0.170 0.081

Computed properties:
**E above lowest polymorph**: 0 meV/atom